1.
SrMgSbIr | PBE | optimized geometry Values from VASP.

Values from the calculation:
The volume comes out at 23.037 Å³/atom. Its crystal system is cubic. The calculation puts the offset from the most stable computed form at 0.127 eV per atom. As for the density: 7.67 g cm⁻³. As for the space group: F-43m, No. 216. The final energy is -4.1080 eV/atom.

Geometry as Quantum ESPRESSO input:
```
&SYSTEM
  ibrav = 0, nat = 4, ntyp = 4
/
ATOMIC_SPECIES
Ir 192.22 Ir.upf
Mg 24.30 Mg.upf
Sb 121.76 Sb.upf
Sr 87.62 Sr.upf
ATOMIC_POSITIONS angstrom
Ir -3.751 -4.241 -2.549
Mg -5.626 -6.362 -3.824
Sb 0.000 0.000 0.000
Sr -1.875 -2.121 -1.275
CELL_PARAMETERS angstrom
-2.720 -4.186 0.884
-4.402 -0.719 -2.410
-0.380 -3.577 -3.572
```

***

2.
HoErGeC | PBE | optimized geometry Values from VASP.

Values from the calculation:
The volume comes out at 20.413 Å³/atom. Its crystal system is trigonal. As for the density: 8.48 g cm⁻³. As for the space group: P-3m1, No. 164. The final energy is -6.2436 eV/atom.

Geometry as Quantum ESPRESSO input:
```
&SYSTEM
  ibrav = 0, nat = 8, ntyp = 4
/
ATOMIC_SPECIES
C 12.01 C.upf
Er 167.26 Er.upf
Ge 72.64 Ge.upf
Ho 164.93 Ho.upf
ATOMIC_POSITIONS angstrom
C 0.000 0.000 0.000
C 0.000 0.000 7.434
Er 0.000 2.056 6.098
Er 1.781 1.028 8.770
Ge 1.781 1.028 3.729
Ge 0.000 2.056 11.139
Ho 0.000 2.056 1.350
Ho 1.781 1.028 13.518
CELL_PARAMETERS angstrom
3.561 0.000 0.000
-1.781 3.084 0.000
0.000 0.000 14.868
```

***

3.
LuSi | PBE | optimized geometry Values from VASP.

Values from the calculation:
The volume comes out at 21.849 Å³/atom. Its crystal system is hexagonal. As for the density: 7.72 g cm⁻³. As for the space group: P-6m2, No. 187. The final energy is -5.2244 eV/atom.

Geometry as Quantum ESPRESSO input:
```
&SYSTEM
  ibrav = 0, nat = 2, ntyp = 2
/
ATOMIC_SPECIES
Lu 174.97 Lu.upf
Si 28.09 Si.upf
ATOMIC_POSITIONS angstrom
Lu 2.130 -0.837 2.964
Si 0.089 -1.912 1.197
CELL_PARAMETERS angstrom
-0.535 1.794 2.905
-1.011 -3.298 -0.205
3.764 -1.245 1.461
```